(1)
A relaxed TlPbAu crystal. Source: Alexandria, functional GGA-PBE.

Summary:
DFT total energy = -3.12 eV per atom
Formation energy = -0.44 kJ/mol of atoms

Structure (CIF):
```
data_TlPbAu
_cell_length_a 4.4277
_cell_length_b 4.4277
_cell_length_c 8.1891
_cell_angle_alpha 90.00
_cell_angle_beta 90.00
_cell_angle_gamma 90.00
_space_group_name_H-M_alt 'P 4/n m m'
_space_group_IT_number 129
loop_
_space_group_symop_operation_xyz
'x,y,z'
'-x,-y,-z'
'-y+1/2,x,z'
'y+1/2,-x,-z'
'-x+1/2,-y+1/2,z'
'x+1/2,y+1/2,-z'
'y,-x+1/2,z'
'-y,x+1/2,-z'
'x+1/2,-y,-z'
'-x+1/2,y,z'
'-y,-x,-z'
'y,x,z'
'-x,y+1/2,-z'
'x,-y+1/2,z'
'y+1/2,x+1/2,-z'
'-y+1/2,-x+1/2,z'
loop_
_atom_site_label
_atom_site_type_symbol
_atom_site_fract_x
_atom_site_fract_y
_atom_site_fract_z
Tl1 Tl 0.2500 0.7500 0.0000
Pb1 Pb 0.2500 0.2500 0.3665
Au1 Au 0.2500 0.2500 0.7189
```


(2)
A relaxed TbYTmAl crystal. Source: Alexandria, functional GGA-PBE.

Summary:
Energy relative to the lowest polymorph listed for this composition = 0 meV per atom
DFT total energy = -5.03 eV per atom
Formation energy = -19.10 kJ/mol of atoms

Structure (CIF):
```
data_TbYTmAl
_cell_length_a 3.5064
_cell_length_b 3.5064
_cell_length_c 8.9634
_cell_angle_alpha 90.00
_cell_angle_beta 90.00
_cell_angle_gamma 90.00
_space_group_name_H-M_alt 'P 4 m m'
_space_group_IT_number 99
loop_
_space_group_symop_operation_xyz
'x,y,z'
'-y,x,z'
'-x,-y,z'
'y,-x,z'
'-x,y,z'
'y,x,z'
'x,-y,z'
'-y,-x,z'
loop_
_atom_site_label
_atom_site_type_symbol
_atom_site_fract_x
_atom_site_fract_y
_atom_site_fract_z
Tb1 Tb 0.0000 0.0000 0.0000
Y1 Y 0.5000 0.5000 0.7074
Tm1 Tm 0.5000 0.5000 0.2817
Al1 Al 0.0000 0.0000 0.4915
```


(3)
A relaxed Ni2OsCl crystal. Source: Alexandria, functional GGA-PBE.

Summary:
Energy relative to the lowest polymorph listed for this composition = 338 meV per atom
DFT total energy = -5.55 eV per atom
E_form (uncorrected) = 0.61 eV/atom

Structure (CIF):
```
data_Ni2OsCl
_cell_length_a 2.9368
_cell_length_b 2.9368
_cell_length_c 6.3809
_cell_angle_alpha 90.00
_cell_angle_beta 90.00
_cell_angle_gamma 90.00
_space_group_name_H-M_alt 'P 4 m m'
_space_group_IT_number 99
loop_
_space_group_symop_operation_xyz
'x,y,z'
'-y,x,z'
'-x,-y,z'
'y,-x,z'
'-x,y,z'
'y,x,z'
'x,-y,z'
'-y,-x,z'
loop_
_atom_site_label
_atom_site_type_symbol
_atom_site_fract_x
_atom_site_fract_y
_atom_site_fract_z
Ni1 Ni 0.0000 0.0000 0.0000
Ni2 Ni 0.5000 0.5000 0.2093
Os1 Os 0.0000 0.0000 0.4123
Cl1 Cl 0.5000 0.5000 0.7394
```


(4)
A relaxed PrUTe4 crystal. Source: Alexandria, functional GGA-PBE.

Summary:
DFT total energy = -5.50 eV per atom
E_form (uncorrected) = -0.72 eV/atom

Structure (CIF):
```
data_PrUTe4
_cell_length_a 7.6034
_cell_length_b 7.6450
_cell_length_c 7.6330
_cell_angle_alpha 90.00
_cell_angle_beta 94.17
_cell_angle_gamma 90.00
_space_group_name_H-M_alt 'P 1 21/c 1'
_space_group_IT_number 14
loop_
_space_group_symop_operation_xyz
'x,y,z'
'-x,-y,-z'
'-x,y+1/2,-z+1/2'
'x,-y+1/2,z+1/2'
loop_
_atom_site_label
_atom_site_type_symbol
_atom_site_fract_x
_atom_site_fract_y
_atom_site_fract_z
Pr1 Pr 0.0000 0.0000 0.0000
U1 U 0.5000 0.0000 0.5000
Te1 Te 0.1578 0.1455 0.3709
Te2 Te 0.3507 0.6666 0.3201
```


(5)
A relaxed As2RhAu crystal. Source: Alexandria, functional GGA-PBE.

Summary:
DFT total energy = -4.88 eV per atom
Formation energy = 9.48 kJ/mol of atoms

Structure (CIF):
```
data_As2RhAu
_cell_length_a 4.4750
_cell_length_b 4.4750
_cell_length_c 3.3959
_cell_angle_alpha 90.00
_cell_angle_beta 90.00
_cell_angle_gamma 90.00
_space_group_name_H-M_alt 'P 4/m m m'
_space_group_IT_number 123
_space_group_name_Hall '-P 4 2'
loop_
_atom_site_label
_atom_site_type_symbol
_atom_site_fract_x
_atom_site_fract_y
_atom_site_fract_z
As1 As 0.0000 0.5000 0.0000
Rh1 Rh 0.0000 0.0000 0.5000
Au1 Au 0.5000 0.5000 0.5000
```


(6)
A relaxed RbHf2CrBi crystal. Source: Alexandria, functional GGA-PBE.

Summary:
DFT total energy = -5.86 eV per atom
Formation energy = 98.42 kJ/mol of atoms

Structure (CIF):
```
data_RbHf2CrBi
_cell_length_a 4.9945
_cell_length_b 4.9945
_cell_length_c 5.5588
_cell_angle_alpha 90.00
_cell_angle_beta 90.00
_cell_angle_gamma 90.00
_space_group_name_H-M_alt 'P 4/m m m'
_space_group_IT_number 123
_space_group_name_Hall '-P 4 2'
loop_
_atom_site_label
_atom_site_type_symbol
_atom_site_fract_x
_atom_site_fract_y
_atom_site_fract_z
Rb1 Rb 0.0000 0.0000 0.0000
Hf1 Hf 0.0000 0.5000 0.5000
Cr1 Cr 0.0000 0.0000 0.5000
Bi1 Bi 0.5000 0.5000 0.0000
```


(7)
A relaxed Na2Pu2Br5Cl2 crystal. Source: Alexandria, functional GGA-PBE.

Summary:
DFT total energy = -5.49 eV per atom
E_form (uncorrected) = -1.55 eV/atom

Structure (CIF):
```
data_Na2Pu2Br5Cl2
_cell_length_a 5.9027
_cell_length_b 5.9027
_cell_length_c 24.9898
_cell_angle_alpha 90.00
_cell_angle_beta 90.00
_cell_angle_gamma 90.00
_space_group_name_H-M_alt 'I 4/m m m'
_space_group_IT_number 139
_space_group_name_Hall '-I 4 2'
loop_
_atom_site_label
_atom_site_type_symbol
_atom_site_fract_x
_atom_site_fract_y
_atom_site_fract_z
Na1 Na 0.0000 0.0000 0.1721
Pu1 Pu 0.0000 0.0000 0.3838
Br1 Br 0.0000 0.0000 0.5000
Br2 Br 0.0000 0.5000 0.1223
Cl1 Cl 0.0000 0.0000 0.2772
```


(8)
A relaxed NpTeBr crystal. Source: Alexandria, functional GGA-PBE.

Summary:
DFT total energy = -6.74 eV per atom
E_form (uncorrected) = -0.82 eV/atom

Structure (CIF):
```
data_NpTeBr
_cell_length_a 7.3420
_cell_length_b 7.3420
_cell_length_c 7.3420
_cell_angle_alpha 90.00
_cell_angle_beta 90.00
_cell_angle_gamma 90.00
_space_group_name_H-M_alt 'F -4 3 m'
_space_group_IT_number 216
_space_group_name_Hall 'F -4 2 3'
loop_
_atom_site_label
_atom_site_type_symbol
_atom_site_fract_x
_atom_site_fract_y
_atom_site_fract_z
Np1 Np 0.0000 0.0000 0.0000
Te1 Te 0.2500 0.2500 0.2500
Br1 Br 0.2500 0.2500 0.7500
```


(9)
A relaxed KAuCl2 crystal. Source: Alexandria, functional GGA-PBE.

Summary:
Energy relative to the lowest polymorph listed for this composition = 367 meV per atom
DFT total energy = -2.76 eV per atom
E_form (uncorrected) = -0.74 eV/atom

Structure (CIF):
```
data_KAuCl2
_cell_length_a 7.8740
_cell_length_b 7.6528
_cell_length_c 3.8886
_cell_angle_alpha 90.00
_cell_angle_beta 114.77
_cell_angle_gamma 90.00
_space_group_name_H-M_alt 'C 1 2/m 1'
_space_group_IT_number 12
loop_
_space_group_symop_operation_xyz
'x,y,z'
'-x,-y,-z'
'-x,y,-z'
'x,-y,z'
'x+1/2,y+1/2,z'
'-x+1/2,-y+1/2,-z'
'-x+1/2,y+1/2,-z'
'x+1/2,-y+1/2,z'
loop_
_atom_site_label
_atom_site_type_symbol
_atom_site_fract_x
_atom_site_fract_y
_atom_site_fract_z
K1 K 0.0000 0.0000 0.0000
Au1 Au 0.0000 0.5000 0.0000
Cl1 Cl 0.2500 0.2500 0.5000
```


(10)
A relaxed FeTe crystal. Source: Alexandria, functional GGA-PBE.

Summary:
DFT total energy = -5.38 eV per atom
E_form (uncorrected) = 0.42 eV/atom

Structure (CIF):
```
data_FeTe
_cell_length_a 7.3982
_cell_length_b 7.3982
_cell_length_c 7.3982
_cell_angle_alpha 90.00
_cell_angle_beta 90.00
_cell_angle_gamma 90.00
_space_group_name_H-M_alt 'P m -3 n'
_space_group_IT_number 223
_space_group_name_Hall '-P 4n 2 3'
loop_
_atom_site_label
_atom_site_type_symbol
_atom_site_fract_x
_atom_site_fract_y
_atom_site_fract_z
Fe1 Fe 0.0000 0.2500 0.5000
Te1 Te 0.0000 0.5000 0.2500
```


(11)
A relaxed TbErCuSn crystal. Source: Alexandria, functional GGA-PBE.

Summary:
DFT total energy = -4.75 eV per atom
Formation energy = -41.07 kJ/mol of atoms

Structure (CIF):
```
data_TbErCuSn
_cell_length_a 7.2557
_cell_length_b 7.2557
_cell_length_c 7.2557
_cell_angle_alpha 90.00
_cell_angle_beta 90.00
_cell_angle_gamma 90.00
_space_group_name_H-M_alt 'F -4 3 m'
_space_group_IT_number 216
_space_group_name_Hall 'F -4 2 3'
loop_
_atom_site_label
_atom_site_type_symbol
_atom_site_fract_x
_atom_site_fract_y
_atom_site_fract_z
Tb1 Tb 0.0000 0.0000 0.0000
Er1 Er 0.0000 0.0000 0.5000
Cu1 Cu 0.2500 0.2500 0.7500
Sn1 Sn 0.2500 0.2500 0.2500
```